InW2O8 | PBE+U | relaxed

## Properties
The final energy comes out at -6.718 eV per atom. Its symmetry is No. 164.

Unit cell a=3.9719 b=6.5215 c=6.5215 alpha=120.00 beta=90.00 gamma=90.00
Atoms (fractional coordinates):
In1 0.5000 0.0000 0.0000
W1 0.7724 0.6667 0.3333
W2 0.2276 0.3333 0.6667
O1 0.7417 0.3333 0.6667
O2 0.2583 0.6667 0.3333
O3 0.2472 0.1712 0.3425
O4 0.7528 0.8288 0.6575
O5 0.7528 0.3425 0.1712
O6 0.2472 0.6575 0.8288
O7 0.2472 0.1712 0.8288
O8 0.7528 0.8288 0.1712

InWO2 | PBE+U | relaxed

## Properties
The final energy comes out at -5.803 eV per atom. Its symmetry is No. 122.

Unit cell a=5.7063 b=5.7063 c=6.4348 alpha=63.68 beta=63.68 gamma=90.00
Atoms (fractional coordinates):
O1 0.7739 0.1250 0.2500
O2 0.9761 0.6250 0.2500
O3 0.3750 0.2261 0.7500
O4 0.8750 0.0239 0.7500
W1 0.0000 0.0000 0.0000
W2 0.7500 0.2500 0.5000
In1 0.5000 0.5000 0.0000
In2 0.2500 0.7500 0.5000

InW3O | PBE+U | relaxed

## Properties
The final energy comes out at -5.120 eV per atom. The calculation puts the distance to the lowest polymorph of the same formula at 0 meV per atom. Its symmetry is No. 221.

Unit cell a=4.2764 b=4.2764 c=4.2764 alpha=90.00 beta=90.00 gamma=90.00
Atoms (fractional coordinates):
O1 0.0000 0.0000 0.0000
W1 0.0000 0.5000 0.0000
W2 0.0000 0.0000 0.5000
W3 0.5000 0.0000 0.0000
In1 0.5000 0.5000 0.5000

In2WO6 | PBE+U | relaxed

## Properties
The final energy comes out at -6.459 eV per atom. Its symmetry is No. 136.

Unit cell a=4.8892 b=4.8892 c=9.7138 alpha=90.00 beta=90.00 gamma=90.00
Atoms (fractional coordinates):
In1 0.0000 0.0000 0.3355
In2 0.5000 0.5000 0.8355
In3 0.5000 0.5000 0.1645
In4 0.0000 0.0000 0.6645
W1 0.0000 0.0000 0.0000
W2 0.5000 0.5000 0.5000
O1 0.3120 0.3120 0.3495
O2 0.6880 0.6880 0.3495
O3 0.1880 0.8120 0.8495
O4 0.8120 0.1880 0.8495
O5 0.1880 0.8120 0.1505
O6 0.8120 0.1880 0.1505
O7 0.3120 0.3120 0.6505
O8 0.6880 0.6880 0.6505
O9 0.2843 0.2843 0.0000
O10 0.7157 0.7157 0.0000
O11 0.2157 0.7843 0.5000
O12 0.7843 0.2157 0.5000

In2WO6 | PBE+U | relaxed

## Properties
The final energy comes out at -6.467 eV per atom. Its symmetry is No. 19.

Unit cell a=4.8964 b=9.0717 c=20.8916 alpha=90.00 beta=90.00 gamma=90.00
Atoms (fractional coordinates):
In1 0.4960 0.1312 0.4389
In2 0.4945 0.1441 0.6718
In3 0.5031 0.2086 0.9338
In4 0.4992 0.1863 0.2001
In5 0.9992 0.3137 0.7999
In6 0.0031 0.2914 0.0662
In7 0.9945 0.3559 0.3282
In8 0.9960 0.3688 0.5611
In9 0.5040 0.6312 0.0611
In10 0.5055 0.6441 0.8282
In11 0.4969 0.7086 0.5662
In12 0.5008 0.6863 0.2999
In13 0.0008 0.8137 0.7001
In14 0.9969 0.7914 0.4338
In15 0.0055 0.8559 0.1718
In16 0.0040 0.8688 0.9389
W1 0.9954 0.0046 0.5607
W2 0.9917 0.0036 0.3120
W3 0.4917 0.4964 0.6880
W4 0.4954 0.4954 0.4393
W5 0.0046 0.5046 0.9393
W6 0.0083 0.5036 0.1880
W7 0.5083 0.9964 0.8120
W8 0.5046 0.9954 0.0607
O1 0.2208 0.0108 0.2353
O2 0.7247 0.0163 0.1384
O3 0.7334 0.0205 0.8885
O4 0.2719 0.0213 0.9861
O5 0.2828 0.1417 0.1084
O6 0.7243 0.1495 0.0196
O7 0.2793 0.1554 0.8473
O8 0.7293 0.1397 0.7653
O9 0.2149 0.1530 0.3553
O10 0.2103 0.1670 0.5946
O11 0.7718 0.1577 0.5243
O12 0.7693 0.1680 0.2819
O13 0.2693 0.3320 0.7181
O14 0.2718 0.3423 0.4757
O15 0.7103 0.3330 0.4054
O16 0.7149 0.3470 0.6447
O17 0.2293 0.3603 0.2347
O18 0.7793 0.3446 0.1527
O19 0.2243 0.3505 0.9804
O20 0.7828 0.3583 0.8916
O21 0.7719 0.4787 0.0139
O22 0.2334 0.4795 0.1115
O23 0.2247 0.4837 0.8616
O24 0.7208 0.4892 0.7647
O25 0.7792 0.5108 0.2647
O26 0.2753 0.5163 0.3616
O27 0.2666 0.5205 0.6115
O28 0.7281 0.5213 0.5139
O29 0.7172 0.6417 0.3916
O30 0.2757 0.6495 0.4804
O31 0.7207 0.6554 0.6527
O32 0.2707 0.6397 0.7347
O33 0.7851 0.6530 0.1447
O34 0.7897 0.6670 0.9054
O35 0.2282 0.6577 0.9757
O36 0.2307 0.6680 0.2181
O37 0.7307 0.8320 0.7819
O38 0.7282 0.8423 0.0243
O39 0.2897 0.8330 0.0946
O40 0.2851 0.8470 0.8553
O41 0.7707 0.8603 0.2653
O42 0.2207 0.8446 0.3473
O43 0.7757 0.8505 0.5196
O44 0.2172 0.8583 0.6084
O45 0.2281 0.9787 0.4861
O46 0.7666 0.9795 0.3885
O47 0.7753 0.9837 0.6384
O48 0.2792 0.9892 0.7353

In2WO2 | PBE+U | relaxed

## Properties
The final energy comes out at -4.733 eV per atom. The calculation puts the distance to the lowest polymorph of the same formula at 0 meV per atom. Its symmetry is No. 139.

Unit cell a=3.7722 b=3.7722 c=6.8017 alpha=73.90 beta=73.90 gamma=90.00
Atoms (fractional coordinates):
O1 0.7500 0.2500 0.5000
O2 0.2500 0.7500 0.5000
W1 0.0000 0.0000 0.0000
In1 0.3402 0.3402 0.3195
In2 0.6598 0.6598 0.6805

In2WO6 | PBE+U | relaxed

## Properties
The final energy comes out at -6.433 eV per atom. Its symmetry is No. 61.

Unit cell a=5.6049 b=10.2585 c=16.3360 alpha=90.00 beta=90.00 gamma=90.00
Atoms (fractional coordinates):
In1 0.0781 0.3608 0.0589
In2 0.5781 0.1392 0.0589
In3 0.9854 0.1386 0.2182
In4 0.4854 0.3614 0.2182
In5 0.9854 0.6386 0.2818
In6 0.4854 0.8614 0.2818
In7 0.5781 0.6392 0.4411
In8 0.0781 0.8608 0.4411
In9 0.9219 0.1392 0.5589
In10 0.4219 0.3608 0.5589
In11 0.5146 0.1386 0.7182
In12 0.0146 0.3614 0.7182
In13 0.5146 0.6386 0.7818
In14 0.0146 0.8614 0.7818
In15 0.9219 0.6392 0.9411
In16 0.4219 0.8608 0.9411
W1 0.6109 0.6242 0.1167
W2 0.1109 0.8758 0.1167
W3 0.6109 0.1242 0.3833
W4 0.1109 0.3758 0.3833
W5 0.8891 0.6242 0.6167
W6 0.3891 0.8758 0.6167
W7 0.8891 0.1242 0.8833
W8 0.3891 0.3758 0.8833
O1 0.1054 0.7791 0.0175
O2 0.6054 0.7209 0.0175
O3 0.8565 0.5274 0.0628
O4 0.3565 0.9726 0.0628
O5 0.8719 0.9974 0.1052
O6 0.3719 0.5026 0.1052
O7 0.2541 0.2363 0.1471
O8 0.7541 0.2637 0.1471
O9 0.3931 0.7570 0.1675
O10 0.8931 0.7430 0.1675
O11 0.1821 0.9583 0.2237
O12 0.6821 0.5417 0.2237
O13 0.6821 0.0417 0.2763
O14 0.1821 0.4583 0.2763
O15 0.3931 0.2570 0.3325
O16 0.8931 0.2430 0.3325
O17 0.2541 0.7363 0.3529
O18 0.7541 0.7637 0.3529
O19 0.8719 0.4974 0.3948
O20 0.3719 0.0026 0.3948
O21 0.8565 0.0274 0.4372
O22 0.3565 0.4726 0.4372
O23 0.6054 0.2209 0.4825
O24 0.1054 0.2791 0.4825
O25 0.8946 0.7209 0.5175
O26 0.3946 0.7791 0.5175
O27 0.6435 0.5274 0.5628
O28 0.1435 0.9726 0.5628
O29 0.6281 0.9974 0.6052
O30 0.1281 0.5026 0.6052
O31 0.2459 0.2363 0.6471
O32 0.7459 0.2637 0.6471
O33 0.1069 0.7570 0.6675
O34 0.6069 0.7430 0.6675
O35 0.8179 0.5417 0.7237
O36 0.3179 0.9583 0.7237
O37 0.8179 0.0417 0.7763
O38 0.3179 0.4583 0.7763
O39 0.1069 0.2570 0.8325
O40 0.6069 0.2430 0.8325
O41 0.2459 0.7363 0.8529
O42 0.7459 0.7637 0.8529
O43 0.6281 0.4974 0.8948
O44 0.1281 0.0026 0.8948
O45 0.6435 0.0274 0.9372
O46 0.1435 0.4726 0.9372
O47 0.8946 0.2209 0.9825
O48 0.3946 0.2791 0.9825

InWO3 | PBE+U | relaxed

## Properties
The final energy comes out at -6.393 eV per atom. Its symmetry is No. 221.

Unit cell a=4.0324 b=4.0324 c=4.0324 alpha=90.00 beta=90.00 gamma=90.00
Atoms (fractional coordinates):
O1 0.0000 0.5000 0.0000
O2 0.0000 0.0000 0.5000
O3 0.5000 0.0000 0.0000
W1 0.0000 0.0000 0.0000
In1 0.5000 0.5000 0.5000

| no. | N(E_F) (states/eV/f.u.) |
| --- | --- |
| 1 | 3.9 |
| 2 | 1.5 |
| 3 | 1.7 |
| 4 | 0.0 |
| 5 | 0.0 |
| 6 | 1.4 |
| 7 | 0.0 |
| 8 | 0.9 |